1.
Below is a geometry-optimized Tb8Sm4Ho structure, with properties calculated at the PBE-GGA level.

Unit cell a=11.0320 b=11.0320 c=13.4600 alpha=90.00 beta=90.00 gamma=120.00
With the nearest neighbours (Å) after each atom.
Space group R-3m (No. 166, hexagonal axes)
Unique sites:
Tb  0.0000  0.0000  0.2399 (multiplicity 6)  4 Sm 3.23-3.42, 1 Ho 3.50
Tb  0.0127  0.5063  0.7461 (multiplicity 18)  4 Sm 3.24-3.42, 1 Ho 3.51
Sm  0.0000  0.0000  0.0000 (multiplicity 3)  8 Tb 3.23-3.24
Sm  0.0000  0.5000  0.0000 (multiplicity 9)  8 Tb 3.42
Ho  0.0000  0.0000  0.5000 (multiplicity 3)  8 Tb 3.50-3.51, 6 Sm 3.90

Magnetic moment: 2.28 μB/cell
Calculated volume: 36.4 Å³ per atom
Electronic total energy: -4.15 eV per atom
ρ: 7.16 g/cm3
ΔE_f: 0.50 eV/atom

***

2.
Below is a geometry-optimized CrAsRu structure, with properties calculated at the PBE-GGA level.

Unit cell a=4.1675 b=4.1675 c=2.8031 alpha=90.00 beta=90.00 gamma=120.00
With the nearest neighbours (Å) after each atom.
Space group P-6m2 (No. 187)
Unique sites:
Cr  0.0000  0.0000  0.0000 (multiplicity 1)  6 As 2.78, 6 Ru 2.78, 2 Cr 2.80
As  0.3333  0.6667  0.5000 (multiplicity 1)  3 Ru 2.41
Ru  0.6667  0.3333  0.5000 (multiplicity 1)  3 As 2.41

Magnetic moment: 1.21 μB/cell
Calculated volume: 14.1 Å³ per atom
Electronic total energy: -7.81 eV per atom
ρ: 8.98 g/cm3
ΔE_f: 0.04 eV/atom

***

3.
Below is a geometry-optimized YZnSi2Ni5 structure, with properties calculated at the PBE-GGA level.

Unit cell a=4.2552 b=4.2552 c=7.1021 alpha=90.00 beta=90.00 gamma=90.00
With the nearest neighbours (Å) after each atom.
Space group P4/mmm (No. 123)
Unique sites:
Y  0.0000  0.0000  0.0000 (multiplicity 1)  12 Ni 2.76-3.01
Zn  0.0000  0.0000  0.5000 (multiplicity 1)  8 Ni 2.78
Si  0.5000  0.5000  0.3374 (multiplicity 2)  5 Ni 2.22-2.40, 1 Si 2.31
Ni  0.0000  0.5000  0.2473 (multiplicity 4)  2 Si 2.22
Ni  0.5000  0.5000  0.0000 (multiplicity 1)  2 Si 2.40

Magnetic moment: 0.00 μB/cell
Calculated volume: 14.3 Å³ per atom
Electronic total energy: -5.50 eV per atom
E_form (uncorrected): -0.227 eV per atom
ρ: 6.51 g/cm3

***

4.
Below is a geometry-optimized Fe2PdRh9 structure, with properties calculated at the PBE-GGA level.

Unit cell a=3.8328 b=3.8328 c=11.4458 alpha=90.00 beta=90.00 gamma=90.00
With the nearest neighbours (Å) after each atom.
Space group P4/mmm (No. 123)
Unique sites:
Fe  0.0000  0.0000  0.1658 (multiplicity 2)  12 Rh 2.67-2.71
Pd  0.0000  0.0000  0.5000 (multiplicity 1)  12 Rh 2.71-2.75
Rh  0.0000  0.5000  0.0000 (multiplicity 2)  8 Rh 2.69-2.71, 4 Fe 2.70
Rh  0.0000  0.5000  0.3276 (multiplicity 4)  2 Fe 2.67, 8 Rh 2.67-2.75, 2 Pd 2.75
Rh  0.5000  0.5000  0.1650 (multiplicity 2)  8 Rh 2.67-2.69, 4 Fe 2.71
Rh  0.5000  0.5000  0.5000 (multiplicity 1)  4 Pd 2.71, 8 Rh 2.75

Magnetic moment: 6.92 μB/cell
Calculated volume: 14.0 Å³ per atom
Electronic total energy: -7.36 eV per atom
ρ: 11.30 g/cm3
ΔE_f: 0.00 eV/atom

***

5.
Below is a geometry-optimized LiTaNi2 structure, with properties calculated at the PBE-GGA level.

Unit cell a=9.1111 b=2.6446 c=4.5413 alpha=90.00 beta=102.38 gamma=90.00
With the nearest neighbours (Å) after each atom.
Space group Cm (No. 8)
Unique sites:
Li  0.0000  0.0000  0.0000 (multiplicity 2)  7 Ni 2.51-2.72, 2 Li 2.64, 1 Ta 2.81
Ta  0.2822  0.5000  0.3534 (multiplicity 2)  7 Ni 2.55-2.65, 2 Ta 2.64, 1 Li 2.81
Ni  0.0353  0.5000  0.5335 (multiplicity 2)  4 Ni 2.51-2.64, 3 Ta 2.55-2.63, 4 Li 2.58-2.72
Ni  0.2478  0.0000  0.8406 (multiplicity 2)  4 Ni 2.51-2.64, 3 Li 2.51-2.61, 4 Ta 2.64-2.65

Magnetic moment: 0.00 μB/cell
Calculated volume: 13.4 Å³ per atom
Electronic total energy: -6.38 eV per atom
ρ: 9.49 g/cm3
ΔE_f: -0.05 eV/atom

***

6.
Below is a geometry-optimized EuLuZnRh structure, with properties calculated at the PBE-GGA level.

Unit cell a=7.0144 b=7.0144 c=7.0144 alpha=90.00 beta=90.00 gamma=90.00
With the nearest neighbours (Å) after each atom.
Space group F-43m (No. 216)
Unique sites:
Eu  0.0000  0.0000  0.0000 (multiplicity 4)  4 Zn 3.04, 4 Rh 3.04
Lu  0.0000  0.0000  0.5000 (multiplicity 4)  4 Rh 3.04, 4 Zn 3.04
Zn  0.2500  0.2500  0.2500 (multiplicity 4)  4 Lu 3.04, 4 Eu 3.04
Rh  0.2500  0.2500  0.7500 (multiplicity 4)  4 Eu 3.04, 4 Lu 3.04

Magnetic moment: 27.75 μB/cell
Calculated volume: 21.6 Å³ per atom
Electronic total energy: -6.16 eV per atom
ρ: 9.53 g/cm3
ΔE_f: -0.31 eV/atom

***

7.
Below is a geometry-optimized Sc2CoH structure, with properties calculated at the PBE-GGA level.

Unit cell a=5.9360 b=5.9360 c=6.6301 alpha=90.00 beta=90.00 gamma=90.00
With the nearest neighbours (Å) after each atom.
Space group I-42d (No. 122)
Unique sites:
Sc  0.1831  0.7500  0.1250 (multiplicity 8)  2 H 2.02
Co  0.0000  0.0000  0.5000 (multiplicity 4)  4 Sc 2.54
H  0.0000  0.0000  0.0000 (multiplicity 4)  4 Sc 2.02

Magnetic moment: 0.00 μB/cell
Calculated volume: 14.6 Å³ per atom
Electronic total energy: -5.96 eV per atom
ρ: 4.26 g/cm3
E above lowest polymorph: 0 meV/atom

***

8.
Below is a geometry-optimized CaP2W structure, with properties calculated at the PBE-GGA level.

Unit cell a=3.1173 b=3.1435 c=6.8721 alpha=90.00 beta=90.00 gamma=90.00
With the nearest neighbours (Å) after each atom.
Space group Pmmm (No. 47)
Unique sites:
Ca  0.0000  0.0000  0.0000 (multiplicity 1)  8 P 3.02, 4 Ca 3.12-3.14
P  0.5000  0.5000  0.2994 (multiplicity 2)  4 W 2.61, 1 P 2.76
W  0.0000  0.0000  0.5000 (multiplicity 1)  8 P 2.61

Magnetic moment: 0.00 μB/cell
Calculated volume: 16.8 Å³ per atom
Electronic total energy: -6.92 eV per atom
ρ: 7.05 g/cm3
ΔE_f: -0.48 eV/atom
E above lowest polymorph: 84 meV/atom

***

9.
Below is a geometry-optimized NaCaPmEu structure, with properties calculated at the PBE-GGA level.

Unit cell a=8.5131 b=8.5131 c=8.5131 alpha=90.00 beta=90.00 gamma=90.00
With the nearest neighbours (Å) after each atom.
Space group F-43m (No. 216)
Unique sites:
Na  0.0000  0.0000  0.0000 (multiplicity 4)  4 Ca 3.69, 4 Eu 3.69
Ca  0.2500  0.2500  0.7500 (multiplicity 4)  4 Na 3.69, 4 Pm 3.69
Pm  0.0000  0.0000  0.5000 (multiplicity 4)  4 Eu 3.69, 4 Ca 3.69
Eu  0.2500  0.2500  0.2500 (multiplicity 4)  4 Na 3.69, 4 Pm 3.69

Magnetic moment: 31.29 μB/cell
Calculated volume: 38.6 Å³ per atom
Electronic total energy: -4.36 eV per atom
ρ: 3.88 g/cm3
ΔE_f: 0.23 eV/atom

***

10.
Below is a geometry-optimized Ac2PaAgS6 structure, with properties calculated at the PBE-GGA level.

Unit cell a=6.6208 b=6.6208 c=6.5603 alpha=90.00 beta=90.00 gamma=90.00
With the nearest neighbours (Å) after each atom.
Space group P4mm (No. 99)
Unique sites:
Ac  0.0000  0.5000  0.0000 (multiplicity 2)  4 S 2.96
Pa  0.0000  0.0000  0.5878 (multiplicity 1)  5 S 2.54-2.71
Ag  0.5000  0.5000  0.4999 (multiplicity 1)  1 S 2.41
S  0.0000  0.0000  0.1748 (multiplicity 1)  1 Pa 2.71
S  0.2546  0.2546  0.7229 (multiplicity 4)  1 Pa 2.54, 1 Ag 2.72
S  0.5000  0.5000  0.1330 (multiplicity 1)  1 Ag 2.41

Magnetic moment: 0.00 μB/cell
Calculated volume: 28.8 Å³ per atom
Electronic total energy: -5.97 eV per atom
E_form (uncorrected): -1.436 eV per atom
ρ: 5.69 g/cm3

***

11.
Below is a geometry-optimized RbNa2SnHg structure, with properties calculated at the PBE-GGA level.

Unit cell a=5.9426 b=5.9426 c=5.5365 alpha=90.00 beta=90.00 gamma=90.00
With the nearest neighbours (Å) after each atom.
Space group P4/mmm (No. 123)
Unique sites:
Rb  0.0000  0.0000  0.0000 (multiplicity 1)  8 Na 4.06, 4 Sn 4.20
Na  0.0000  0.5000  0.5000 (multiplicity 2)  2 Hg 2.97
Sn  0.5000  0.5000  0.0000 (multiplicity 1)  2 Hg 2.77
Hg  0.5000  0.5000  0.5000 (multiplicity 1)  2 Sn 2.77, 4 Na 2.97

Magnetic moment: 0.00 μB/cell
Calculated volume: 39.1 Å³ per atom
Electronic total energy: -1.63 eV per atom
ρ: 3.83 g/cm3
ΔE_f: -0.04 eV/atom
E above lowest polymorph: 42 meV/atom

***

12.
Below is a geometry-optimized BeCuAs2C structure, with properties calculated at the PBE-GGA level.

Unit cell a=4.5905 b=4.5905 c=3.2560 alpha=90.00 beta=90.00 gamma=90.00
With the nearest neighbours (Å) after each atom.
Space group P4/mmm (No. 123)
Unique sites:
Be  0.0000  0.0000  0.0000 (multiplicity 1)  2 C 1.63
Cu  0.5000  0.5000  0.0000 (multiplicity 1)  8 As 2.81
As  0.0000  0.5000  0.5000 (multiplicity 2)  2 C 2.30
C  0.0000  0.0000  0.5000 (multiplicity 1)  2 Be 1.63

Magnetic moment: 0.00 μB/cell
Calculated volume: 13.7 Å³ per atom
Electronic total energy: -4.64 eV per atom
ρ: 5.67 g/cm3
ΔE_f: 0.63 eV/atom

***

13.
Below is a geometry-optimized Pm2Y3Sc4 structure, with properties calculated at the PBE-GGA level.

Unit cell a=16.0955 b=11.2475 c=5.8466 alpha=90.00 beta=97.21 gamma=90.00
With the nearest neighbours (Å) after each atom.
Space group C2/c (No. 15)
Unique sites:
Pm  0.1264  0.1360  0.3077 (multiplicity 8)  5 Sc 3.29-3.63, 5 Y 3.42-3.63
Y  0.0000  0.1160  0.7500 (multiplicity 4)  4 Sc 3.34-3.66, 6 Pm 3.48-3.63
Y  0.1607  0.3947  0.6124 (multiplicity 8)  7 Sc 3.21-3.45, 2 Pm 3.42
Sc  0.0461  0.3716  0.0297 (multiplicity 8)  3 Sc 3.13-3.42, 4 Y 3.21-3.34, 1 Pm 3.29
Sc  0.2289  0.1383  0.8457 (multiplicity 8)  1 Sc 3.12, 4 Y 3.26-3.45, 3 Pm 3.34-3.49

Magnetic moment: 0.00 μB/cell
Calculated volume: 29.2 Å³ per atom
Electronic total energy: -5.91 eV per atom
ρ: 4.66 g/cm3
ΔE_f: 0.11 eV/atom